Entry 1:
4
Lattice="1.833 1.058 8.384 -1.833 1.058 8.384 0.000 -2.116 8.384" Properties=species:S:1:pos:R:3 comment="PBE-GGA InOsBr2, relaxed" de_polymorph_mev_per_atom=117 vol_a3_per_cell=97.6 raw_formation_energy_kcal_per_mol_atoms=6.88 pbc="T T T"
In 0.000 0.000 0.000
Os 0.000 0.000 6.486
Br 0.000 0.000 13.624
Br 0.000 0.000 18.766

***

Entry 2:
5
Lattice="4.795 0.000 0.000 0.000 4.795 0.000 0.000 0.000 4.795" Properties=species:S:1:pos:R:3 comment="PBE-GGA MnCdRh3, relaxed" formation_energy_mev_per_atom=2188 de_polymorph_mev_per_atom=1477 vol_a3_per_cell=110.2 pbc="T T T"
Mn 0.000 0.000 0.000
Cd 2.397 2.397 2.397
Rh 0.000 2.397 2.397
Rh 2.397 0.000 2.397
Rh 2.397 2.397 0.000

***

Entry 3:
5
Lattice="5.060 0.000 0.000 0.000 5.060 0.000 0.000 0.000 5.363" Properties=species:S:1:pos:R:3 comment="PBE-GGA CaHf2ScAs, relaxed" formation_energy_mev_per_atom=116 vol_a3_per_cell=137.3 pbc="T T T"
Ca 0.000 0.000 0.000
Hf 0.000 2.530 2.682
Hf 2.530 0.000 2.682
Sc 2.530 2.530 0.000
As 0.000 0.000 2.682

***

Entry 4:
5
Lattice="4.037 0.000 0.000 0.000 4.037 0.000 0.000 0.000 6.143" Properties=species:S:1:pos:R:3 comment="PBE-GGA ScIrIN2, relaxed" de_polymorph_mev_per_atom=564 vol_a3_per_cell=100.1 raw_formation_energy_kcal_per_mol_atoms=29.31 pbc="T T T"
Sc 0.000 0.000 0.000
Ir 2.019 2.019 3.072
I 0.000 0.000 3.072
N 0.000 2.019 0.000
N 2.019 0.000 0.000

***

Entry 5:
6
Lattice="3.362 0.000 0.000 0.000 3.362 0.000 0.000 0.000 10.210" Properties=species:S:1:pos:R:3 comment="PBE-GGA Tm3CoCu2, relaxed" formation_energy_mev_per_atom=-272 de_polymorph_mev_per_atom=0 vol_a3_per_cell=115.4 pbc="T T T"
Tm 0.000 0.000 0.000
Tm 0.000 0.000 3.488
Tm 0.000 0.000 6.722
Co 1.681 1.681 5.105
Cu 1.681 1.681 1.737
Cu 1.681 1.681 8.473

***

Entry 6:
4
Lattice="3.473 0.000 0.000 0.000 3.473 0.000 0.000 0.000 9.112" Properties=species:S:1:pos:R:3 comment="PBE-GGA DyPaPb2, relaxed" formation_energy_mev_per_atom=-137 de_polymorph_mev_per_atom=11 vol_a3_per_cell=109.9 pbc="T T T"
Dy 0.000 0.000 0.000
Pa 0.000 0.000 4.556
Pb 1.737 1.737 2.252
Pb 1.737 1.737 6.860